No. 1
# CaNb2Ru3

A geometry-optimized CaNb2Ru3 structure (PBE-GGA, the Alexandria database).

Results
- raw total energy (Ry/atom) = -0.62644
- size of the total moment (μB/atom) = 0.000
- formation energy (meV per atom) = -195
- SG = P4/mmm

extended XYZ file:
```
6
Lattice="-1.806 -2.643 -0.071 0.117 0.006 -3.200 8.482 -5.802 0.298" Properties=species:S:1:pos:R:3 pbc="T T T"
Nb 6.270 -6.185 -1.385
Ru 0.000 0.000 0.000
Ca 3.396 -4.220 -1.486
Ru 2.497 -1.708 0.088
Nb 0.523 -2.254 -1.587
Ru 5.984 -4.094 0.210
```


No. 2
# Ca2NbRu

A geometry-optimized Ca2NbRu structure (PBE-GGA, the Alexandria database).

Results
- raw total energy (Ry/atom) = -0.36791
- distance to the lowest polymorph of the same formula (eV/atom) = 0.122
- size of the total moment (μB/atom) = 0.787
- formation energy (meV per atom) = 832
- SG = Fm-3m

extended XYZ file:
```
4
Lattice="3.730 -1.240 3.180 -1.057 -1.170 4.804 0.474 -4.772 1.603" Properties=species:S:1:pos:R:3 pbc="T T T"
Nb 0.000 0.000 0.000
Ca 0.787 -1.796 2.397
Ca 2.360 -5.387 7.190
Ru 1.573 -3.591 4.793
```